(w)
A geometry-optimized TiNbRu structure. Source: Alexandria, functional PBE.

Structure (extended XYZ):
```
12
Lattice="4.428 0.000 0.000 0.000 9.794 0.000 0.000 0.000 4.438" Properties=species:S:1:pos:R:3 pbc="T T T"
Ru 0.000 7.347 1.110
Ru 0.000 2.447 3.329
Ru 2.214 2.450 1.110
Ru 2.214 7.344 3.329
Nb 0.000 4.037 1.110
Nb 0.000 5.757 3.329
Nb 2.214 8.934 1.110
Nb 2.214 0.860 3.329
Ti 0.000 0.890 1.110
Ti 0.000 8.904 3.329
Ti 2.214 5.788 1.110
Ti 2.214 4.007 3.329
```

## Properties
- SG = No. 63

---

(x)
A geometry-optimized TiNbRu structure. Source: Alexandria, functional PBE.

Structure (extended XYZ):
```
3
Lattice="2.898 0.000 0.000 0.000 4.372 0.000 0.000 -2.186 3.786" Properties=species:S:1:pos:R:3 pbc="T T T"
Ru 0.003 0.000 0.000
Nb 1.973 0.000 2.524
Ti 0.923 2.186 1.262
```

## Properties
- SG = No. 156

---

(y)
A geometry-optimized TiNbRu structure. Source: Alexandria, functional PBE.

Structure (extended XYZ):
```
12
Lattice="-5.239 -1.233 0.074 0.869 -3.537 2.540 4.242 5.734 6.534" Properties=species:S:1:pos:R:3 pbc="T T T"
Ru -1.063 2.939 4.457
Ru 0.066 1.561 2.151
Ru -2.750 -1.696 2.460
Ru 2.622 2.660 6.689
Nb 2.955 5.373 6.471
Nb -3.952 -0.872 0.137
Nb 1.268 0.737 4.474
Nb -1.397 0.226 4.674
Ti 1.498 3.526 4.397
Ti -2.495 0.975 2.211
Ti -0.189 -1.110 2.400
Ti 0.060 2.074 6.748
```

## Properties
- SG = No. 12

---

(z)
A geometry-optimized TiNbRu structure. Source: Alexandria, functional PBE.

Structure (extended XYZ):
```
12
Lattice="6.267 0.000 -0.002 0.000 3.130 0.000 -3.120 0.000 9.821" Properties=species:S:1:pos:R:3 pbc="T T T"
Ru 3.169 0.000 4.906
Ru -0.022 0.000 4.913
Ru 1.609 1.565 9.816
Ru 1.538 1.565 0.003
Nb 3.154 0.000 1.593
Nb -0.007 0.000 8.225
Nb 1.594 1.565 6.504
Nb 1.553 1.565 3.315
Ti 3.166 0.000 8.268
Ti -0.019 0.000 1.551
Ti 4.726 1.565 3.357
Ti -1.579 1.565 6.461
```

## Properties
- SG = No. 12

---

What should be chosen as the least stable of them? Choose (x).

---

(w)
A geometry-optimized TiNbRu structure. Source: Alexandria, functional PBE.

Structure (extended XYZ):
```
12
Lattice="-0.308 -1.206 5.373 4.149 -1.567 -0.114 3.064 8.378 -3.617" Properties=species:S:1:pos:R:3 pbc="T T T"
Ru 2.406 6.432 -0.818
Ru 0.350 0.739 2.575
Ru 2.949 1.460 0.933
Ru 3.957 4.145 0.709
Nb 2.272 5.876 1.928
Nb 0.484 1.295 -0.171
Nb 2.814 0.904 3.679
Nb 4.091 4.701 -2.037
Ti 1.501 4.008 -0.437
Ti 1.255 3.164 2.194
Ti 2.044 -0.965 1.314
Ti 4.862 6.570 0.329
```

## Properties
- SG = No. 12

---

(x)
A geometry-optimized TiNbRu structure. Source: Alexandria, functional PBE.

Structure (extended XYZ):
```
12
Lattice="13.677 0.000 0.000 0.000 4.443 0.000 0.000 0.000 3.132" Properties=species:S:1:pos:R:3 pbc="T T T"
Ru 2.327 0.000 0.000
Ru 11.349 0.000 0.000
Ru 9.166 2.221 0.000
Ru 4.511 2.221 0.000
Nb 0.000 0.000 1.566
Nb 6.838 2.221 1.566
Nb 6.838 0.000 0.000
Nb 0.000 2.221 0.000
Ti 9.212 0.000 1.566
Ti 4.464 0.000 1.566
Ti 2.374 2.221 1.566
Ti 11.303 2.221 1.566
```

## Properties
- SG = No. 65

---

(y)
A geometry-optimized TiNbRu structure. Source: Alexandria, functional PBE.

Structure (extended XYZ):
```
6
Lattice="4.494 0.000 0.000 2.247 4.652 -0.941 2.247 -0.651 4.701" Properties=species:S:1:pos:R:3 pbc="T T T"
Ti 2.247 3.781 -0.014
Ti 2.247 0.220 3.774
Nb 4.494 2.898 0.925
Nb 4.494 1.103 2.835
Ru 6.741 2.999 2.819
Ru 2.247 1.002 0.941
```

## Properties
- SG = No. 71

---

What should be chosen as the least stable of them? Choose (y).

---

(w)
A geometry-optimized TiNb2Ru structure. Source: Alexandria, functional PBE.

Structure (extended XYZ):
```
4
Lattice="-2.980 0.168 -1.115 -0.201 -4.539 -0.148 -1.596 -0.068 4.256" Properties=species:S:1:pos:R:3 pbc="T T T"
Ru -2.389 -2.220 1.497
Nb -0.798 -0.034 2.128
Nb -0.101 -2.270 -0.074
Ti -1.490 0.084 -0.557
```

## Properties
- SG = No. 123

---

(x)
A geometry-optimized TiNb2Ru structure. Source: Alexandria, functional PBE.

Structure (extended XYZ):
```
4
Lattice="1.667 -1.887 3.766 -1.928 -3.725 1.712 2.160 -3.976 -0.224" Properties=species:S:1:pos:R:3 pbc="T T T"
Ru 0.950 -4.794 2.627
Nb 0.475 -2.397 1.314
Nb 1.425 -7.190 3.941
Ti 0.000 0.000 0.000
```

## Properties
- SG = No. 225

---

(y)
A geometry-optimized TiNb2Ru structure. Source: Alexandria, functional PBE.

Structure (extended XYZ):
```
4
Lattice="-2.515 1.659 -1.012 -0.109 -1.773 -2.636 -4.019 -4.249 3.023" Properties=species:S:1:pos:R:3 pbc="T T T"
Ru -1.312 -0.057 -1.824
Nb -3.040 -3.214 2.287
Nb -0.979 -1.034 0.736
Ti -3.321 -2.181 -0.312
```

## Properties
- SG = No. 123

---

What should be chosen as the least stable of them? Choose (x).

---

(w)
A geometry-optimized Ti2NbRu2 structure. Source: Alexandria, functional PBE.

Structure (extended XYZ):
```
10
Lattice="-4.342 -0.368 5.914 -3.202 -6.023 -2.727 1.986 -1.669 1.354" Properties=species:S:1:pos:R:3 pbc="T T T"
Ru -1.780 -4.839 -0.191
Ru -4.558 -6.163 2.250
Ru -3.779 -3.221 4.732
Ru -1.001 -1.897 2.292
Nb 0.000 0.000 0.000
Nb -3.772 -3.196 1.594
Ti -4.279 -5.281 -0.232
Ti -5.778 -4.200 3.298
Ti -3.265 -1.111 3.419
Ti -1.766 -2.192 -0.111
```

## Properties
- SG = No. 127

---

(x)
A geometry-optimized Ti2NbRu2 structure. Source: Alexandria, functional PBE.

Structure (extended XYZ):
```
10
Lattice="7.269 0.000 0.000 0.000 7.269 0.000 0.000 0.000 3.042" Properties=species:S:1:pos:R:3 pbc="T T T"
Ru 2.595 6.229 0.000
Ru 6.229 4.675 0.000
Ru 4.675 1.040 0.000
Ru 1.040 2.595 0.000
Nb 0.000 0.000 0.000
Nb 3.635 3.635 0.000
Ti 1.135 4.770 1.521
Ti 4.770 6.134 1.521
Ti 6.134 2.500 1.521
Ti 2.500 1.135 1.521
```

## Properties
- SG = No. 127

---

What should be chosen as the least stable of them? Choose (w).

---

(w)
A geometry-optimized NbTl3Ru structure. Source: Alexandria, functional PBE.

Structure (extended XYZ):
```
5
Lattice="5.146 0.000 0.000 0.000 5.146 0.000 0.000 0.000 5.146" Properties=species:S:1:pos:R:3 pbc="T T T"
Ru 0.000 0.000 0.000
Tl 0.000 2.573 0.000
Tl 0.000 0.000 2.573
Tl 2.573 0.000 0.000
Nb 2.573 2.573 2.573
```

## Properties
- SG = No. 221

---

(x)
A geometry-optimized NbTl3Ru structure. Source: Alexandria, functional PBE.

Structure (extended XYZ):
```
5
Lattice="5.412 0.000 0.000 0.000 5.412 0.000 0.000 0.000 5.412" Properties=species:S:1:pos:R:3 pbc="T T T"
Ru 2.706 2.706 2.706
Tl 0.000 2.706 0.000
Tl 0.000 0.000 2.706
Tl 2.706 0.000 0.000
Nb 0.000 0.000 0.000
```

## Properties
- SG = No. 221

---

What should be chosen as the least stable of them? Choose (x).

---

(w)
A geometry-optimized NbVRu3 structure. Source: Alexandria, functional PBE.

Structure (extended XYZ):
```
10
Lattice="4.274 0.000 0.000 0.000 6.038 0.000 0.000 -3.019 6.486" Properties=species:S:1:pos:R:3 pbc="T T T"
Nb 0.000 3.019 1.699
Nb 0.000 0.000 4.786
V 2.137 0.000 1.335
V 2.137 3.019 5.150
Ru 2.137 1.833 0.000
Ru 0.000 3.019 4.168
Ru 2.137 4.205 0.000
Ru 2.137 1.510 3.243
Ru 0.000 0.000 2.317
Ru 2.137 -1.510 3.243
```

## Properties
- SG = No. 65

---

(x)
A geometry-optimized NbVRu3 structure. Source: Alexandria, functional PBE.

Structure (extended XYZ):
```
5
Lattice="-3.782 -1.039 2.013 -0.846 -2.986 -3.131 2.101 -3.073 2.362" Properties=species:S:1:pos:R:3 pbc="T T T"
Ru -0.423 -1.493 -1.566
Ru 1.051 -1.536 1.181
Ru -1.891 -0.520 1.006
Nb -1.263 -3.549 0.622
V 0.000 0.000 0.000
```

## Properties
- SG = No. 221

---

(y)
A geometry-optimized NbVRu3 structure. Source: Alexandria, functional PBE.

Structure (extended XYZ):
```
10
Lattice="-4.060 0.400 -1.516 3.635 -0.488 -3.616 -1.478 -7.106 2.081" Properties=species:S:1:pos:R:3 pbc="T T T"
Nb -2.376 -3.820 -0.893
Nb 0.473 -3.374 -2.158
V -2.287 -6.810 -1.920
V 0.384 -0.383 -1.131
Ru -0.297 -2.456 0.147
Ru -1.606 -4.737 -3.198
Ru 1.159 -1.159 -3.410
Ru -3.062 -6.035 0.359
Ru -0.314 -5.561 -0.628
Ru -1.589 -1.633 -2.422
```

## Properties
- SG = No. 12

---

What should be chosen as the least stable of them? Choose (x).

---

(w)
A geometry-optimized Nb4VRu structure. Source: Alexandria, functional PBE.

Structure (extended XYZ):
```
6
Lattice="3.221 0.000 0.000 0.000 3.221 0.000 0.000 0.000 9.690" Properties=species:S:1:pos:R:3 pbc="T T T"
Nb 1.610 1.610 1.547
Nb 0.000 0.000 6.434
Nb 0.000 0.000 3.256
Nb 1.610 1.610 8.143
V 0.000 0.000 0.000
Ru 1.610 1.610 4.845
```

## Properties
- SG = No. 123

---

(x)
A geometry-optimized Nb4VRu structure. Source: Alexandria, functional PBE.

Structure (extended XYZ):
```
6
Lattice="-1.843 2.498 3.027 -2.916 -3.111 0.792 3.735 -2.420 4.278" Properties=species:S:1:pos:R:3 pbc="T T T"
Nb -2.882 -2.465 3.394
Nb -1.061 -3.648 5.484
Nb 1.319 -3.341 3.574
Nb -0.503 -2.158 1.484
V -1.050 -4.305 2.925
Ru 1.354 -2.710 6.181
```

## Properties
- SG = No. 12

---

What should be chosen as the least stable of them? Choose (x).

---

(w)
A geometry-optimized Nb6VRu structure. Source: Alexandria, functional PBE.

Structure (extended XYZ):
```
8
Lattice="-3.066 0.121 4.875 -3.486 -0.072 -4.585 3.526 -4.555 -0.063" Properties=species:S:1:pos:R:3 pbc="T T T"
Nb -2.503 -1.166 -2.237
Nb 1.005 -3.408 0.025
Nb -0.524 -3.340 2.463
Nb -0.734 -3.437 -2.269
Nb -4.032 -1.098 0.201
Nb -2.293 -1.069 2.495
V -1.513 -2.253 0.113
Ru 0.000 0.000 0.000
```

## Properties
- SG = No. 166

---

(x)
A geometry-optimized Nb6VRu structure. Source: Alexandria, functional PBE.

Structure (extended XYZ):
```
8
Lattice="-0.221 -0.032 4.573 4.559 -0.371 0.217 2.695 6.299 2.466" Properties=species:S:1:pos:R:3 pbc="T T T"
Nb 4.605 2.904 4.827
Nb 2.457 4.714 4.735
Nb 4.847 4.545 2.558
Nb 4.575 1.182 2.521
Nb 2.427 2.992 2.430
Nb 2.186 1.351 4.699
V 2.169 -0.201 2.395
Ru 0.000 0.000 0.000
```

## Properties
- SG = No. 139

---

What should be chosen as the least stable of them? Choose (w).